Material: GeWNCl2
Method: DFT, GGA-PBE
State: optimized geometry

POSCAR file:
```
GeWNCl2
1.0
5.400 0.000 0.000
0.000 5.400 0.000
0.000 0.000 3.767
Ge W N Cl
1 1 1 2
direct
0.000 0.000 0.000
0.500 0.500 0.000
0.500 0.500 0.500
0.000 0.500 0.500
0.500 0.000 0.500
```

Properties
- Uncorrected energy: -24.7 eV for the cell shown
- SG: P4/mmm, No. 123
- Formation energy without anion corrections: 472 kJ/mol of formula units